Below is ScMnAu2 after structural relaxation, with properties calculated at the PBE level.

Values from the calculation:
Symmetry ... No. 119
N(E_F) ... 5.994 states/eV per cell
Formation energy ... -1.54 eV/f.u.
Mass density ... 11.70 g/cm³

```
8
Lattice="4.064 0.000 0.000 0.000 4.064 0.000 0.000 0.000 8.490" Properties=species:S:1:pos:R:3 pbc="T T T"
Sc 0.000 0.000 0.000
Sc 2.032 2.032 4.245
Mn 0.000 2.032 6.368
Mn 2.032 0.000 2.123
Au 0.000 0.000 4.245
Au 0.000 2.032 2.123
Au 2.032 0.000 6.368
Au 2.032 2.032 0.000
```